(1)
TbPr2Ag | GGA-PBE | optimized geometry

Values from the calculation:
- Electronic total energy: -4.294 eV per atom
- Distance to the lowest polymorph of the same formula: 82 meV per atom
- DFT formation energy: -34 meV/atom

a b c (Å): 6.8489 6.8489 6.6131
angles (deg): 105.23 105.23 54.94
Fractional positions:
1 Tb 0.1680 0.8320 0.7500
2 Tb 0.8320 0.1680 0.2500
3 Pr 0.2768 0.2933 0.8921
4 Pr 0.2933 0.2768 0.3921
5 Pr 0.7067 0.7232 0.6079
6 Pr 0.7232 0.7067 0.1079
7 Ag 0.3057 0.6943 0.2500
8 Ag 0.6943 0.3057 0.7500


(2)
TbPr2Ag | GGA-PBE | optimized geometry

Values from the calculation:
- Electronic total energy: -4.251 eV per atom
- Distance to the lowest polymorph of the same formula: 126 meV per atom
- DFT formation energy: 10 meV/atom

a b c (Å): 10.9065 10.9065 10.9065
angles (deg): 19.47 19.47 19.47
Fractional positions:
1 Tb 0.0000 0.0000 0.0000
2 Pr 0.5760 0.5760 0.5760
3 Pr 0.7582 0.7582 0.7582
4 Ag 0.1678 0.1678 0.1678


(3)
Tb2PrAg | GGA-PBE | optimized geometry

Values from the calculation:
- Electronic total energy: -4.197 eV per atom
- Distance to the lowest polymorph of the same formula: 156 meV per atom
- DFT formation energy: 26 meV/atom

a b c (Å): 5.5450 5.5450 3.6819
angles (deg): 90.00 90.00 90.00
Fractional positions:
1 Tb 0.0000 0.5000 0.0000
2 Tb 0.5000 0.0000 0.0000
3 Pr 0.0000 0.0000 0.5000
4 Ag 0.5000 0.5000 0.5000


(4)
TbPrAg3 | GGA-PBE | optimized geometry

Values from the calculation:
- Electronic total energy: -3.813 eV per atom
- Distance to the lowest polymorph of the same formula: 38 meV per atom
- DFT formation energy: -220 meV/atom

a b c (Å): 5.6399 4.9760 8.7880
angles (deg): 90.00 101.55 90.00
Fractional positions:
1 Tb 0.2494 0.2500 0.4451
2 Tb 0.7506 0.7500 0.5549
3 Pr 0.4475 0.7500 0.1265
4 Pr 0.5525 0.2500 0.8735
5 Ag 0.0058 0.2500 0.7292
6 Ag 0.0846 0.2500 0.0865
7 Ag 0.2875 0.7500 0.6966
8 Ag 0.7125 0.2500 0.3034
9 Ag 0.9154 0.7500 0.9135
10 Ag 0.9942 0.7500 0.2708


(5)
TbPr2Ag | GGA-PBE | optimized geometry

Values from the calculation:
- Electronic total energy: -4.264 eV per atom
- Distance to the lowest polymorph of the same formula: 112 meV per atom
- DFT formation energy: -4 meV/atom

a b c (Å): 10.9696 10.9696 10.9696
angles (deg): 19.25 19.25 19.25
Fractional positions:
1 Tb 0.0000 0.0000 0.0000
2 Pr 0.2421 0.2421 0.2421
3 Pr 0.7579 0.7579 0.7579
4 Ag 0.5000 0.5000 0.5000


(6)
Tb2PrAg4 | GGA-PBE | optimized geometry

Values from the calculation:
- Electronic total energy: -3.703 eV per atom
- DFT formation energy: -68 meV/atom

a b c (Å): 6.2901 6.2901 6.2901
angles (deg): 107.61 107.61 113.27
Fractional positions:
1 Tb 0.0000 0.5000 0.5000
2 Tb 0.5000 0.0000 0.5000
3 Pr 0.0000 0.0000 0.0000
4 Ag 0.0000 0.0000 0.5000
5 Ag 0.0000 0.5000 0.0000
6 Ag 0.5000 0.0000 0.0000
7 Ag 0.5000 0.5000 0.5000


(7)
TbPr2Ag | GGA-PBE | optimized geometry

Values from the calculation:
- Electronic total energy: -4.193 eV per atom
- Distance to the lowest polymorph of the same formula: 184 meV per atom
- DFT formation energy: 67 meV/atom

a b c (Å): 5.5323 5.5323 5.5323
angles (deg): 60.00 60.00 60.00
Fractional positions:
1 Tb 0.0000 0.0000 0.0000
2 Pr 0.2500 0.2500 0.2500
3 Pr 0.7500 0.7500 0.7500
4 Ag 0.5000 0.5000 0.5000


(8)
Tb4PrAg2 | GGA-PBE | optimized geometry

Values from the calculation:
- Electronic total energy: -3.974 eV per atom
- DFT formation energy: 169 meV/atom

a b c (Å): 10.9200 10.9200 10.9200
angles (deg): 26.10 26.10 26.10
Fractional positions:
1 Tb 0.1032 0.1032 0.1032
2 Tb 0.2988 0.2988 0.2988
3 Tb 0.7012 0.7012 0.7012
4 Tb 0.8968 0.8968 0.8968
5 Pr 0.5000 0.5000 0.5000
6 Ag 0.3976 0.3976 0.3976
7 Ag 0.6024 0.6024 0.6024


(9)
Tb2Pr2Ag | GGA-PBE | optimized geometry

Values from the calculation:
- Electronic total energy: -4.435 eV per atom
- DFT formation energy: -100 meV/atom

a b c (Å): 11.7681 11.7681 11.7681
angles (deg): 162.12 162.12 25.39
Fractional positions:
1 Tb 0.0798 0.0798 0.0000
2 Tb 0.9202 0.9202 0.0000
3 Pr 0.3080 0.3080 0.0000
4 Pr 0.6920 0.6920 0.0000
5 Ag 0.5000 0.5000 0.0000


(10)
TbPrAg3 | GGA-PBE | optimized geometry

Values from the calculation:
- Electronic total energy: -3.851 eV per atom
- Distance to the lowest polymorph of the same formula: 0 meV per atom
- DFT formation energy: -259 meV/atom

a b c (Å): 14.2430 14.2430 4.8264
angles (deg): 90.00 90.00 165.45
Fractional positions:
1 Tb 0.2096 0.7904 0.7500
2 Tb 0.7904 0.2096 0.2500
3 Pr 0.0750 0.9250 0.2500
4 Pr 0.9250 0.0750 0.7500
5 Ag 0.3215 0.6785 0.7500
6 Ag 0.3778 0.6222 0.2500
7 Ag 0.4759 0.5241 0.2500
8 Ag 0.5241 0.4759 0.7500
9 Ag 0.6222 0.3778 0.7500
10 Ag 0.6785 0.3215 0.2500


(11)
Tb2PrAg | GGA-PBE | optimized geometry

Values from the calculation:
- Electronic total energy: -4.221 eV per atom
- Distance to the lowest polymorph of the same formula: 132 meV per atom
- DFT formation energy: 2 meV/atom

a b c (Å): 10.7276 10.7276 10.7276
angles (deg): 19.58 19.58 19.58
Fractional positions:
1 Tb 0.0000 0.0000 0.0000
2 Tb 0.1896 0.1896 0.1896
3 Pr 0.7616 0.7616 0.7616
4 Ag 0.5948 0.5948 0.5948


(12)
Tb3PrAg4 | GGA-PBE | optimized geometry

Values from the calculation:
- Electronic total energy: -4.050 eV per atom
- DFT formation energy: -291 meV/atom

a b c (Å): 5.2172 5.2172 7.3643
angles (deg): 90.00 90.00 90.00
Fractional positions:
1 Tb 0.0000 0.0000 0.0000
2 Tb 0.0000 0.0000 0.5000
3 Tb 0.5000 0.5000 0.0000
4 Pr 0.5000 0.5000 0.5000
5 Ag 0.0000 0.5000 0.2389
6 Ag 0.0000 0.5000 0.7611
7 Ag 0.5000 0.0000 0.2389
8 Ag 0.5000 0.0000 0.7611